# 1
Density functional theory data (SCAN) for a PBEsol-optimized structure of ZnInCu2.

Geometry as POSCAR:
```
ZnInCu2
1.0
3.053 0.000 0.000
0.000 3.053 0.000
0.000 0.000 6.114
Zn In Cu
1 1 2
Direct
0.000 0.000 0.000
0.000 0.000 0.500
0.500 0.500 0.215
0.500 0.500 0.785
```

Formation energy from the elements   0.013 eV per atom
Final energy   -19.3121 eV per atom
D(E_F)   0.738 states/eV/f.u.



# 2
Density functional theory data (SCAN) for a PBEsol-optimized structure of Zn2InCu.

Geometry as POSCAR:
```
Zn2InCu
1.0
-1.384 2.252 5.124
1.384 -2.252 5.124
1.384 2.252 -5.124
Zn In Cu
2 1 1
Direct
0.216 0.216 0.000
0.784 0.784 0.000
0.500 0.000 0.500
0.000 0.500 0.500
```

Formation energy from the elements   0.087 eV per atom
Final energy   -18.8168 eV per atom
D(E_F)   0.968 states/eV/f.u.



# 3
Density functional theory data (SCAN) for a PBEsol-optimized structure of Zn2InCu.

Geometry as POSCAR:
```
Zn2InCu
1.0
2.666 -2.949 0.000
2.666 2.949 0.000
0.000 0.000 3.961
Zn In Cu
2 1 1
Direct
0.000 0.500 0.000
0.500 0.000 0.000
0.000 0.000 0.500
0.500 0.500 0.500
```

Formation energy from the elements   0.115 eV per atom
Final energy   -18.7886 eV per atom
D(E_F)   1.131 states/eV/f.u.



# 4
Density functional theory data (SCAN) for a PBEsol-optimized structure of ZnInCu2.

Geometry as POSCAR:
```
ZnInCu2
1.0
2.892 0.000 0.000
0.000 4.271 0.000
0.000 0.000 4.675
Zn In Cu
1 1 2
Direct
0.000 0.000 0.000
0.000 0.500 0.614
0.500 0.000 0.447
0.500 0.500 0.118
```

Formation energy from the elements   0.034 eV per atom
Final energy   -19.2907 eV per atom
D(E_F)   0.958 states/eV/f.u.